Material: SrCa3Hg
Method: DFT, PBE-GGA
State: optimized geometry

## Properties
As for the spin magnetization: 0.351 μB/atom. The calculation puts the energy of formation at 842.9 meV per atom. The excess energy over the best structure of this formula in the dataset comes out at 1066.5 meV per atom. The value obtained for the density of states at the Fermi level is 3.2629 states/eV per atom. Its mass density is 2.05 g/cm3.

abc: 6.9207 6.9207 6.9207
angles: 90.00 90.00 90.00
Last column: nearest neighbours and their distance in Å.
Element x y z (fractional)
1 Sr 0.0000 0.0000 0.0000  6 Ca 3.46
2 Ca 0.0000 0.0000 0.5000  2 Sr 3.46
3 Ca 0.0000 0.5000 0.0000  2 Sr 3.46
4 Ca 0.5000 0.0000 0.0000  2 Sr 3.46
5 Hg 0.5000 0.5000 0.5000  12 Ca 4.89